Version 1
Here is LiSbTe2Se after structural relaxation from the Alexandria database. Energies are from PBE.

Lattice parameters (Å, degrees): 5.568 5.568 5.476 90.00 90.00 90.00
Fractional coordinates of all 5 atoms:
Li: 0.000 0.000 0.000
Sb: 0.500 0.500 0.000
Te: 0.000 0.500 0.500
Te: 0.500 0.000 0.500
Se: 0.500 0.500 0.500

---

Version 2
Here is LiSbTe2Se after structural relaxation from the Alexandria database. Energies are from PBE.

Lattice parameters (Å, degrees): 4.910 4.910 5.319 90.00 90.00 90.00
Fractional coordinates of all 5 atoms:
Li: 0.000 0.000 0.000
Sb: 0.000 0.000 0.500
Te: 0.000 0.500 0.000
Te: 0.500 0.000 0.000
Se: 0.500 0.500 0.500

---

Tell me which of them is the most stable. Sure, it is version 1.

---

Version 1
Here is LiSiSb3 after structural relaxation from the Alexandria database. Energies are from PBE.

Lattice parameters (Å, degrees): 4.972 4.972 4.972 90.00 90.00 90.00
Fractional coordinates of all 5 atoms:
Li: 0.000 0.000 0.000
Si: 0.500 0.500 0.500
Sb: 0.000 0.000 0.500
Sb: 0.000 0.500 0.000
Sb: 0.500 0.000 0.000

---

Version 2
Here is LiSiSb3 after structural relaxation from the Alexandria database. Energies are from PBE.

Lattice parameters (Å, degrees): 5.292 5.292 5.292 90.00 90.00 90.00
Fractional coordinates of all 5 atoms:
Li: 0.000 0.000 0.000
Si: 0.500 0.500 0.500
Sb: 0.000 0.500 0.500
Sb: 0.500 0.000 0.500
Sb: 0.500 0.500 0.000

---

Tell me which of them is the most stable. Sure, it is version 2.

---

Version 1
Here is LiSiSb2Te after structural relaxation from the Alexandria database. Energies are from PBE.

Lattice parameters (Å, degrees): 5.284 5.284 5.368 90.00 90.00 90.00
Fractional coordinates of all 5 atoms:
Li: 0.000 0.000 0.000
Si: 0.500 0.500 0.500
Sb: 0.000 0.500 0.500
Sb: 0.500 0.000 0.500
Te: 0.500 0.500 0.000

---

Version 2
Here is LiSiSb2Te after structural relaxation from the Alexandria database. Energies are from PBE.

Lattice parameters (Å, degrees): 4.880 4.880 5.303 90.00 90.00 90.00
Fractional coordinates of all 5 atoms:
Li: 0.000 0.000 0.000
Si: 0.500 0.500 0.500
Sb: 0.000 0.500 0.000
Sb: 0.500 0.000 0.000
Te: 0.000 0.000 0.500

---

Tell me which of them is the most stable. Sure, it is version 1.

---

Version 1
Here is LiSiSbTe2 after structural relaxation from the Alexandria database. Energies are from PBE.

Lattice parameters (Å, degrees): 5.191 5.191 4.769 90.00 90.00 90.00
Fractional coordinates of all 5 atoms:
Li: 0.000 0.000 0.000
Si: 0.500 0.500 0.500
Sb: 0.000 0.000 0.500
Te: 0.000 0.500 0.000
Te: 0.500 0.000 0.000

---

Version 2
Here is LiSiSbTe2 after structural relaxation from the Alexandria database. Energies are from PBE.

Lattice parameters (Å, degrees): 5.392 5.392 5.234 90.00 90.00 90.00
Fractional coordinates of all 5 atoms:
Li: 0.000 0.000 0.000
Si: 0.500 0.500 0.500
Sb: 0.500 0.500 0.000
Te: 0.000 0.500 0.500
Te: 0.500 0.000 0.500

---

Tell me which of them is the most stable. Sure, it is version 2.

---

Version 1
Here is LiSmSb2 after structural relaxation from the Alexandria database. Energies are from PBE.

Lattice parameters (Å, degrees): 5.752 5.752 5.752 50.59 50.59 50.59
Fractional coordinates of all 4 atoms:
Li: 0.000 0.000 0.000
Sm: 0.500 0.500 0.500
Sb: 0.262 0.262 0.262
Sb: 0.738 0.738 0.738

---

Version 2
Here is LiSmSb2 after structural relaxation from the Alexandria database. Energies are from PBE.

Lattice parameters (Å, degrees): 3.951 3.951 6.534 90.00 90.00 90.00
Fractional coordinates of all 4 atoms:
Li: 0.000 0.000 0.000
Sm: 0.000 0.000 0.500
Sb: 0.500 0.500 0.232
Sb: 0.500 0.500 0.768

---

Tell me which of them is the most stable. Sure, it is version 2.

---

Version 1
Here is LiSmSb2 after structural relaxation from the Alexandria database. Energies are from PBE.

Lattice parameters (Å, degrees): 4.882 4.882 4.275 90.00 90.00 90.00
Fractional coordinates of all 4 atoms:
Li: 0.000 0.000 0.000
Sm: 0.500 0.500 0.000
Sb: 0.000 0.500 0.500
Sb: 0.500 0.000 0.500

---

Version 2
Here is LiSmSb2 after structural relaxation from the Alexandria database. Energies are from PBE.

Lattice parameters (Å, degrees): 4.316 4.316 10.844 90.00 90.00 90.00
Fractional coordinates of all 8 atoms:
Li: 0.250 0.750 0.000
Li: 0.750 0.250 0.000
Sm: 0.250 0.250 0.266
Sm: 0.750 0.750 0.734
Sb: 0.250 0.250 0.835
Sb: 0.250 0.750 0.500
Sb: 0.750 0.250 0.500
Sb: 0.750 0.750 0.165

---

Tell me which of them is the most stable. Sure, it is version 2.